*i*
Entry from Alexandria via LeMat-Bulk: an optimized crystal structure of Zr4Sn3 (PBE).

Output
For the size of the total moment, the calculation gives 0.00 μB per formula unit. The density of states at the Fermi level is 1.3420 states/eV per atom. The theoretical density comes out at 7.23 g/cm³. The space group is P6_3/m (176).

Structure (POSCAR):
```
Zr4Sn3
1.0
-1.1237 6.4480 -5.0962
-0.7954 1.0032 8.1959
5.4080 1.2376 0.3734
Zr Sn
8 6
Direct
0.9034 0.3587 0.7500
0.5446 0.9034 0.2500
0.3333 0.6667 0.7500
0.3587 0.4554 0.2500
0.6413 0.5446 0.7500
0.6667 0.3333 0.2500
0.4554 0.0966 0.7500
0.0966 0.6413 0.2500
0.9496 0.2110 0.2500
0.7386 0.9496 0.7500
0.2110 0.2614 0.7500
0.7890 0.7386 0.2500
0.2614 0.0504 0.2500
0.0504 0.7890 0.7500
```


*ii*
Entry from Alexandria via LeMat-Bulk: an optimized crystal structure of Zr4Sn3 (PBE).

Output
For the size of the total moment, the calculation gives 0.00 μB per formula unit. The density of states at the Fermi level is 1.0037 states/eV per atom. The theoretical density comes out at 7.44 g/cm³. The space group is P6_3/m (176).

Structure (POSCAR):
```
Zr4Sn3
1.0
-6.4881 5.2352 -0.7327
-0.9645 -8.1286 -1.7425
-1.3183 -0.9266 5.0525
Zr Sn
8 6
Direct
0.0230 0.7865 0.7500
0.6667 0.3333 0.2500
0.3333 0.6667 0.7500
0.9770 0.2135 0.2500
0.7635 0.9770 0.7500
0.2135 0.2365 0.7500
0.7865 0.7635 0.2500
0.2365 0.0230 0.2500
0.4519 0.0741 0.7500
0.0741 0.6223 0.2500
0.9259 0.3777 0.7500
0.5481 0.9259 0.2500
0.3777 0.4519 0.2500
0.6223 0.5481 0.7500
```


Which structure is the most stable? The one labeled *ii*.


*i*
Entry from Alexandria via LeMat-Bulk: an optimized crystal structure of Sr4Ta5 (PBE).

Output
For the size of the total moment, the calculation gives 0.00 μB per formula unit. The density of states at the Fermi level is 1.5752 states/eV per atom. The theoretical density comes out at 7.07 g/cm³. The space group is I4/mmm (139).

Structure (POSCAR):
```
Sr4Ta5
1.0
7.2368 -3.7347 2.1597
-4.5031 7.0559 -0.9593
-3.9769 -2.2838 7.0677
Sr Ta
4 5
Direct
0.2993 0.0000 0.2993
0.7007 0.0000 0.7007
0.0000 0.7007 0.7007
0.0000 0.2993 0.2993
0.0000 0.0000 0.0000
0.3847 0.6153 0.0000
0.6153 0.3847 0.0000
0.6153 0.6153 0.2307
0.3847 0.3847 0.7693
```


*ii*
Entry from Alexandria via LeMat-Bulk: an optimized crystal structure of Sr4Ta5 (PBE).

Output
For the size of the total moment, the calculation gives 0.00 μB per formula unit. The density of states at the Fermi level is 1.4028 states/eV per atom. The theoretical density comes out at 9.35 g/cm³. The space group is P6_3/mcm (193).

Structure (POSCAR):
```
Sr4Ta5
1.0
9.1434 0.0000 0.0000
-4.5717 7.9184 0.0000
0.0000 0.0000 6.1553
Sr Ta
8 10
Direct
0.0000 0.0000 0.0000
0.0000 0.0000 0.5000
0.0000 0.3009 0.2500
0.6991 0.6991 0.2500
0.3009 0.0000 0.2500
0.0000 0.6991 0.7500
0.3009 0.3009 0.7500
0.6991 0.0000 0.7500
0.0000 0.6025 0.2500
0.3975 0.3975 0.2500
0.6025 0.0000 0.2500
0.0000 0.3975 0.7500
0.6025 0.6025 0.7500
0.3975 0.0000 0.7500
0.6667 0.3333 0.0000
0.3333 0.6667 0.5000
0.3333 0.6667 0.0000
0.6667 0.3333 0.5000
```


Which structure is the most stable? The one labeled *i*.


*i*
Entry from Alexandria via LeMat-Bulk: an optimized crystal structure of SrTa (PBE).

Output
For the size of the total moment, the calculation gives 1.65 μB per formula unit. The density of states at the Fermi level is 1.7646 states/eV per atom. The theoretical density comes out at 7.90 g/cm³. The space group is Pm-3m (221).

Structure (POSCAR):
```
SrTa
1.0
-3.0089 -2.3231 -0.5169
1.2108 -2.2116 2.8915
-2.0489 2.1047 2.4678
Sr Ta
1 1
Direct
0.0000 0.0000 0.0000
0.5000 0.5000 0.5000
```


*ii*
Entry from Alexandria via LeMat-Bulk: an optimized crystal structure of SrTa (PBE).

Output
For the size of the total moment, the calculation gives 0.00 μB per formula unit. The density of states at the Fermi level is 1.4102 states/eV per atom. The theoretical density comes out at 6.38 g/cm³. The space group is R-3m (166).

Structure (POSCAR):
```
SrTa
1.0
-3.2817 2.0399 -7.0610
-1.6383 -2.2368 -7.5565
-5.6924 -1.5531 -5.4748
Sr Ta
2 2
Direct
0.0939 0.0939 0.0939
0.9061 0.9061 0.9061
0.3336 0.3336 0.3336
0.6664 0.6664 0.6664
```


Which structure is the most stable? The one labeled *ii*.